A geometry-optimized Al2MoSe structure. Source: Alexandria, functional PBE.

Calculated values
Uncorrected formation energy   0.1740 eV/atom
Calculated density   5.11 g cm⁻³
Space group   Cmm2, No. 35

Cell lengths 2.889, 2.889, 9.786 Å; angles 90.00, 90.00, 114.45 degrees
Sites, in units of the cell vectors:
Mo 0.000 0.000 0.495
Al 0.000 0.000 0.032
Al 0.500 0.500 0.273
Se 0.500 0.500 0.699